Entry from Alexandria: a relaxed structure of YCdWO6 (PBE with a Hubbard U).

Unit cell a=5.6182 b=5.6182 c=4.6723 alpha=90.00 beta=90.00 gamma=120.00
Space group P312 (No. 149)
Unique sites:
Y 0.0000 0.0000 0.0000
Cd 0.6667 0.3333 0.5000
W 0.3333 0.6667 0.0000
O 0.0416 0.3748 0.2284

Output
**E**: -62.19 eV per formula unit
**Mass density**: 6.256 Mg/m³